GGA+U La4CuNiO8, optimized geometry; SG = No. 12; theoretical density = 6.89 g/cm3; electronic total energy = -103.06 eV for the cell shown
1.0
6.723 -1.942 0.000
6.723 1.942 0.000
-2.107 0.000 7.442
La Cu Ni O
4 1 1 8
Cartesian
1.125 0.000 2.285
0.220 0.000 6.086
11.120 0.000 1.356
10.215 0.000 5.157
5.670 0.000 3.721
6.723 0.000 0.000
0.000 0.000 0.000
-1.053 0.000 3.721
3.364 0.000 2.719
2.432 0.000 6.942
4.975 0.000 5.488
6.365 0.000 1.954
8.908 0.000 0.500
7.976 0.000 4.723